Entry 1:
Entry from Alexandria: K2Na2Eu4Nb2O13 after structural relaxation (GGA-PBE).

* total magnetization: 48.000 μB per cell
* symmetry: C2/c (15)
* formation energy (no corrections): -5546 kJ/mol of formula units

Cell and atoms, written as POSCAR:
```
K2Na2Eu4Nb2O13
1.0
12.254 -2.868 0.000
12.254 2.868 0.000
-5.103 0.000 10.167
K Na Eu Nb O
4 4 8 4 26
direct
0.204 0.295 0.133
0.295 0.204 0.633
0.705 0.796 0.367
0.796 0.705 0.867
0.307 0.377 0.477
0.377 0.307 0.977
0.623 0.693 0.023
0.693 0.623 0.523
0.022 0.103 0.947
0.103 0.022 0.447
0.405 0.470 0.325
0.470 0.405 0.825
0.530 0.595 0.175
0.595 0.530 0.675
0.897 0.978 0.553
0.978 0.897 0.053
0.120 0.182 0.281
0.182 0.120 0.781
0.818 0.880 0.219
0.880 0.818 0.719
0.061 0.679 0.363
0.095 0.639 0.125
0.128 0.669 0.659
0.144 0.593 0.858
0.179 0.293 0.376
0.250 0.748 0.520
0.252 0.750 0.980
0.259 0.741 0.250
0.293 0.179 0.876
0.321 0.939 0.137
0.331 0.872 0.841
0.361 0.905 0.375
0.407 0.856 0.642
0.593 0.144 0.358
0.639 0.095 0.625
0.669 0.128 0.159
0.679 0.061 0.863
0.707 0.821 0.124
0.741 0.259 0.750
0.748 0.250 0.020
0.750 0.252 0.480
0.821 0.707 0.624
0.856 0.407 0.142
0.872 0.331 0.341
0.905 0.361 0.875
0.939 0.321 0.637
```



Entry 2:
Entry from Alexandria: KNaEuSn after structural relaxation (GGA-PBE).

* energy relative to the elements: -0.24 eV per atom
* total magnetization: 27.998 μB per cell
* symmetry: F-43m (216)

Cell and atoms, written as POSCAR:
```
KNaEuSn
1.0
8.050 0.000 0.000
0.000 8.050 0.000
0.000 0.000 8.050
K Na Eu Sn
4 4 4 4
direct
0.000 0.000 0.000
0.000 0.500 0.500
0.500 0.000 0.500
0.500 0.500 0.000
0.250 0.250 0.250
0.250 0.750 0.750
0.750 0.250 0.750
0.750 0.750 0.250
0.250 0.250 0.750
0.250 0.750 0.250
0.750 0.250 0.250
0.750 0.750 0.750
0.000 0.000 0.500
0.000 0.500 0.000
0.500 0.000 0.000
0.500 0.500 0.500
```



Entry 3:
Entry from Alexandria: KNaSrEu after structural relaxation (GGA-PBE).

* energy relative to the elements: 0.18 eV per atom
* total magnetization: 30.311 μB per cell
* symmetry: F-43m (216)

Cell and atoms, written as POSCAR:
```
KNaSrEu
1.0
9.366 0.000 0.000
0.000 9.366 0.000
0.000 0.000 9.366
K Na Sr Eu
4 4 4 4
direct
0.000 0.000 0.000
0.000 0.500 0.500
0.500 0.000 0.500
0.500 0.500 0.000
0.000 0.000 0.500
0.000 0.500 0.000
0.500 0.000 0.000
0.500 0.500 0.500
0.250 0.250 0.250
0.250 0.750 0.750
0.750 0.250 0.750
0.750 0.750 0.250
0.250 0.250 0.750
0.250 0.750 0.250
0.750 0.250 0.250
0.750 0.750 0.750
```



Entry 4:
Entry from Alexandria: KNaEuTl after structural relaxation (GGA-PBE).

* energy relative to the elements: -0.01 eV per atom
* total magnetization: 32.620 μB per cell
* symmetry: F-43m (216)

Cell and atoms, written as POSCAR:
```
KNaEuTl
1.0
8.476 0.000 0.000
0.000 8.476 0.000
0.000 0.000 8.476
K Na Eu Tl
4 4 4 4
direct
0.000 0.000 0.000
0.000 0.500 0.500
0.500 0.000 0.500
0.500 0.500 0.000
0.250 0.250 0.750
0.250 0.750 0.250
0.750 0.250 0.250
0.750 0.750 0.750
0.000 0.000 0.500
0.000 0.500 0.000
0.500 0.000 0.000
0.500 0.500 0.500
0.250 0.250 0.250
0.250 0.750 0.750
0.750 0.250 0.750
0.750 0.750 0.250
```



Entry 5:
Entry from Alexandria: KEuNb4O12 after structural relaxation (GGA-PBE).

* total magnetization: 5.933 μB per cell
* symmetry: Amm2 (38)
* formation energy (no corrections): -4383 kJ/mol of formula units

Cell and atoms, written as POSCAR:
```
KEuNb4O12
1.0
7.966 0.000 0.000
0.000 3.961 4.060
0.000 -3.961 4.060
K Eu Nb O
1 1 4 12
direct
0.000 0.000 0.000
0.500 0.477 0.477
0.248 0.500 0.996
0.248 0.996 0.500
0.752 0.500 0.996
0.752 0.996 0.500
0.000 0.507 0.958
0.000 0.958 0.507
0.237 0.245 0.245
0.262 0.224 0.737
0.262 0.737 0.224
0.291 0.705 0.705
0.500 0.021 0.457
0.500 0.457 0.021
0.709 0.705 0.705
0.738 0.224 0.737
0.738 0.737 0.224
0.763 0.245 0.245
```



Entry 6:
Entry from Alexandria: KTbEuNbO6 after structural relaxation (GGA-PBE).

* total magnetization: 11.906 μB per cell
* symmetry: P4_2/mmc (131)
* formation energy (no corrections): -2565 kJ/mol of formula units

Cell and atoms, written as POSCAR:
```
KTbEuNbO6
1.0
6.002 0.000 0.000
0.000 6.002 0.000
0.000 0.000 8.411
K Tb Eu Nb O
2 2 2 2 12
direct
0.000 0.000 0.250
0.000 0.000 0.750
0.000 0.500 0.000
0.500 0.000 0.500
0.500 0.500 0.250
0.500 0.500 0.750
0.000 0.500 0.500
0.500 0.000 0.000
0.000 0.500 0.264
0.000 0.500 0.736
0.254 0.279 0.500
0.254 0.721 0.500
0.279 0.254 0.000
0.279 0.746 0.000
0.500 0.000 0.236
0.500 0.000 0.764
0.721 0.254 0.000
0.721 0.746 0.000
0.746 0.279 0.500
0.746 0.721 0.500
```



Look up the total magnetization of the sixth one. 11.906 μB per cell



The lowest total magnetization belongs to which entry? KEuNb4O12



What did the fourth record say?
Entry from Alexandria: KNaEuTl after structural relaxation (GGA-PBE).

* energy relative to the elements: -0.01 eV per atom
* total magnetization: 32.620 μB per cell
* symmetry: F-43m (216)

Cell and atoms, written as POSCAR:
```
KNaEuTl
1.0
8.476 0.000 0.000
0.000 8.476 0.000
0.000 0.000 8.476
K Na Eu Tl
4 4 4 4
direct
0.000 0.000 0.000
0.000 0.500 0.500
0.500 0.000 0.500
0.500 0.500 0.000
0.250 0.250 0.750
0.250 0.750 0.250
0.750 0.250 0.250
0.750 0.750 0.750
0.000 0.000 0.500
0.000 0.500 0.000
0.500 0.000 0.000
0.500 0.500 0.500
0.250 0.250 0.250
0.250 0.750 0.750
0.750 0.250 0.750
0.750 0.750 0.250
```